1.
Here is a relaxed Tb8CuAu2 crystal from Alexandria. Energies are from GGA-PBE.

- Formation energy: -338.3 meV per atom

a b c (Å): 5.1166 6.8338 9.2180
angles (deg): 104.03 106.11 90.00
Positions (direct):
Tb 0.4101 0.5501 0.8201
Tb 0.6625 0.9723 0.3249
Tb 0.7982 0.6791 0.5963
Tb 0.9711 0.2206 0.9422
Tb 0.2018 0.3209 0.4037
Tb 0.3375 0.0277 0.6751
Tb 0.5899 0.4499 0.1799
Tb 0.0289 0.7794 0.0578
Cu 0.5000 0.0000 0.0000
Au 0.8123 0.2675 0.6245
Au 0.1877 0.7325 0.3755

2.
Here is a relaxed Tl2CdTe4 crystal from Alexandria. Energies are from GGA-PBE.

- Offset from the most stable computed form: 0 meV per atom
- Formation energy from raw total energies: -0.19 eV per atom

a b c (Å): 7.9058 7.9058 7.9058
angles (deg): 132.43 132.43 69.55
Positions (direct):
Tl 0.2500 0.7500 0.5000
Tl 0.0000 0.0000 0.0000
Cd 0.5000 0.5000 0.0000
Te 0.4240 0.9185 0.0670
Te 0.8515 0.3570 0.9330
Te 0.0815 0.1485 0.5055
Te 0.6430 0.5760 0.4945

How do the records compare in E_tot? In the order shown, they have -51.41; -19.51 eV per formula unit.